(1)
Crystalline CeSnS3 at its relaxed geometry. Source: Alexandria, functional PBE.

Lattice parameters (Å, degrees): 7.3399 7.3399 7.3399 136.47 85.27 110.94
Element x y z (fractional)
1 Ce 0.0000 0.0000 0.0000
2 Ce 0.5000 0.0000 0.5000
3 Sn 0.2757 0.5257 0.7500
4 Sn 0.7243 0.4743 0.2500
5 S 0.1133 0.6643 0.4491
6 S 0.2848 0.3357 0.9491
7 S 0.3284 0.0784 0.2500
8 S 0.6716 0.9216 0.7500
9 S 0.7152 0.6643 0.0509
10 S 0.8867 0.3357 0.5509

Results
**Uncorrected formation energy**: -1.024 eV/atom
**Space-group type**: Imma
**Raw total energy**: -54.9 eV per cell



(2)
Crystalline MnMo2Pt at its relaxed geometry. Source: Alexandria, functional PBE.

Lattice parameters (Å, degrees): 3.8199 3.8199 4.0348 90.00 90.00 90.00
Element x y z (fractional)
1 Mn 0.0000 0.0000 0.0000
2 Mo 0.0000 0.5000 0.5000
3 Mo 0.5000 0.0000 0.5000
4 Pt 0.5000 0.5000 0.0000

Results
**Formation energy from the elements**: -0.119 eV/atom
**Offset from the most stable computed form**: 0 meV per atom
**Space-group type**: P4/mmm
**Raw total energy**: -37.3 eV per cell



(3)
Crystalline Al2SnPb2 at its relaxed geometry. Source: Alexandria, functional PBE.

Lattice parameters (Å, degrees): 8.8995 8.8995 3.3626 90.00 90.00 90.00
Element x y z (fractional)
1 Al 0.1108 0.3892 0.0000
2 Al 0.3892 0.8892 0.0000
3 Al 0.6108 0.1108 0.0000
4 Al 0.8892 0.6108 0.0000
5 Sn 0.0000 0.0000 0.5000
6 Sn 0.5000 0.5000 0.5000
7 Pb 0.1841 0.6841 0.5000
8 Pb 0.3159 0.1841 0.5000
9 Pb 0.6841 0.8159 0.5000
10 Pb 0.8159 0.3159 0.5000

Results
**Formation energy from the elements**: 0.279 eV/atom
**Offset from the most stable computed form**: 75 meV per atom
**Space-group type**: P4/mbm
**Raw total energy**: -35.0 eV per cell



(4)
Crystalline CePuZnRu at its relaxed geometry. Source: Alexandria, functional PBE.

Lattice parameters (Å, degrees): 6.9746 6.9746 6.9746 90.00 90.00 90.00
Element x y z (fractional)
1 Ce 0.0000 0.0000 0.0000
2 Ce 0.0000 0.5000 0.5000
3 Ce 0.5000 0.0000 0.5000
4 Ce 0.5000 0.5000 0.0000
5 Pu 0.0000 0.0000 0.5000
6 Pu 0.0000 0.5000 0.0000
7 Pu 0.5000 0.0000 0.0000
8 Pu 0.5000 0.5000 0.5000
9 Zn 0.2500 0.2500 0.7500
10 Zn 0.2500 0.7500 0.2500
11 Zn 0.7500 0.2500 0.2500
12 Zn 0.7500 0.7500 0.7500
13 Ru 0.2500 0.2500 0.2500
14 Ru 0.2500 0.7500 0.7500
15 Ru 0.7500 0.2500 0.7500
16 Ru 0.7500 0.7500 0.2500

Results
**Formation energy from the elements**: -0.154 eV/atom
**Space-group type**: F-43m
**Raw total energy**: -125.7 eV per cell



(5)
Crystalline LaEr14Sc at its relaxed geometry. Source: Alexandria, functional PBE.

Lattice parameters (Å, degrees): 11.3376 7.0481 7.0481 60.00 90.00 90.00
Element x y z (fractional)
1 La 0.0000 0.0000 0.0000
2 Er 0.0000 0.9995 0.4972
3 Er 0.0000 0.4972 0.9995
4 Er 0.2467 0.6641 0.6641
5 Er 0.2506 0.1674 0.6634
6 Er 0.2506 0.6634 0.1674
7 Er 0.2547 0.1660 0.1660
8 Er 0.5000 0.3328 0.3328
9 Er 0.5000 0.3333 0.8307
10 Er 0.5000 0.8307 0.3333
11 Er 0.5000 0.8320 0.8320
12 Er 0.7453 0.1660 0.1660
13 Er 0.7494 0.1674 0.6634
14 Er 0.7494 0.6634 0.1674
15 Er 0.7533 0.6641 0.6641
16 Sc 0.0000 0.4984 0.4984

Results
**Formation energy from the elements**: 0.015 eV/atom
**Space-group type**: Amm2
**Raw total energy**: -74.9 eV per cell



(6)
Crystalline CdNi2Te at its relaxed geometry. Source: Alexandria, functional PBE.

Lattice parameters (Å, degrees): 4.4025 4.4025 16.4020 90.00 90.00 90.00
Element x y z (fractional)
1 Cd 0.0000 0.0000 0.0000
2 Cd 0.0000 0.5000 0.2500
3 Cd 0.5000 0.0000 0.7500
4 Cd 0.5000 0.5000 0.5000
5 Ni 0.1706 0.2500 0.6250
6 Ni 0.2500 0.6706 0.8750
7 Ni 0.2500 0.8294 0.3750
8 Ni 0.3294 0.2500 0.1250
9 Ni 0.6706 0.7500 0.1250
10 Ni 0.7500 0.1706 0.3750
11 Ni 0.7500 0.3294 0.8750
12 Ni 0.8294 0.7500 0.6250
13 Te 0.0000 0.0000 0.5000
14 Te 0.0000 0.5000 0.7500
15 Te 0.5000 0.0000 0.2500
16 Te 0.5000 0.5000 0.0000

Results
**Uncorrected formation energy**: 0.239 eV/atom
**Offset from the most stable computed form**: 190 meV per atom
**Space-group type**: I-42d
**Raw total energy**: -58.6 eV per cell



(7)
Crystalline TbHo2Au at its relaxed geometry. Source: Alexandria, functional PBE.

Lattice parameters (Å, degrees): 3.7258 3.7258 29.3000 90.00 90.00 120.00
Element x y z (fractional)
1 Tb 0.0000 0.0000 0.0000
2 Tb 0.3333 0.6667 0.6667
3 Tb 0.6667 0.3333 0.3333
4 Ho 0.0000 0.0000 0.5683
5 Ho 0.0000 0.0000 0.7633
6 Ho 0.3333 0.6667 0.2350
7 Ho 0.3333 0.6667 0.4300
8 Ho 0.6667 0.3333 0.0967
9 Ho 0.6667 0.3333 0.9017
10 Au 0.0000 0.0000 0.1652
11 Au 0.3333 0.6667 0.8319
12 Au 0.6667 0.3333 0.4985

Results
**Formation energy from the elements**: -0.290 eV/atom
**Offset from the most stable computed form**: 157 meV per atom
**Space-group type**: R3m
**Raw total energy**: -54.7 eV per cell



(8)
Crystalline MgZr2S at its relaxed geometry. Source: Alexandria, functional PBE.

Lattice parameters (Å, degrees): 6.7822 6.7822 6.7822 90.00 90.00 90.00
Element x y z (fractional)
1 Mg 0.0000 0.0000 0.0000
2 Mg 0.0000 0.5000 0.5000
3 Mg 0.5000 0.0000 0.5000
4 Mg 0.5000 0.5000 0.0000
5 Zr 0.2500 0.2500 0.2500
6 Zr 0.2500 0.2500 0.7500
7 Zr 0.2500 0.7500 0.2500
8 Zr 0.2500 0.7500 0.7500
9 Zr 0.7500 0.2500 0.2500
10 Zr 0.7500 0.2500 0.7500
11 Zr 0.7500 0.7500 0.2500
12 Zr 0.7500 0.7500 0.7500
13 S 0.0000 0.0000 0.5000
14 S 0.0000 0.5000 0.0000
15 S 0.5000 0.0000 0.0000
16 S 0.5000 0.5000 0.5000

Results
**Uncorrected formation energy**: -0.080 eV/atom
**Offset from the most stable computed form**: 606 meV per atom
**Space-group type**: Fm-3m
**Raw total energy**: -92.6 eV per cell



(9)
Crystalline Th5Fe2Pt2 at its relaxed geometry. Source: Alexandria, functional PBE.

Lattice parameters (Å, degrees): 8.4748 8.4748 7.4741 90.00 90.00 52.79
Element x y z (fractional)
1 Th 0.0000 0.0000 0.0000
2 Th 0.0434 0.6985 0.6683
3 Th 0.1985 0.5434 0.1683
4 Th 0.3015 0.9566 0.6683
5 Th 0.4566 0.8015 0.1683
6 Th 0.5000 0.5000 0.5000
7 Th 0.5434 0.1985 0.8317
8 Th 0.6985 0.0434 0.3317
9 Th 0.8015 0.4566 0.8317
10 Th 0.9566 0.3015 0.3317
11 Fe 0.1401 0.8599 0.3625
12 Fe 0.3599 0.6401 0.8625
13 Fe 0.6401 0.3599 0.1375
14 Fe 0.8599 0.1401 0.6375
15 Pt 0.2127 0.2127 0.0000
16 Pt 0.2873 0.2873 0.5000
17 Pt 0.7127 0.7127 0.5000
18 Pt 0.7873 0.7873 0.0000

Results
**Formation energy from the elements**: -0.529 eV/atom
**Space-group type**: Cmce
**Raw total energy**: -141.7 eV per cell



(10)
Crystalline PbBr at its relaxed geometry. Source: Alexandria, functional PBE.

Lattice parameters (Å, degrees): 9.2023 6.1826 5.2868 90.00 90.00 90.00
Element x y z (fractional)
1 Pb 0.0150 0.2500 0.0924
2 Pb 0.4850 0.7500 0.5924
3 Pb 0.5150 0.2500 0.4076
4 Pb 0.9850 0.7500 0.9076
5 Br 0.1752 0.7500 0.4117
6 Br 0.3248 0.2500 0.9117
7 Br 0.6752 0.7500 0.0883
8 Br 0.8248 0.2500 0.5883

Results
**Uncorrected formation energy**: -0.436 eV/atom
**Space-group type**: Pnma
**Raw total energy**: -25.0 eV per cell



(11)
Crystalline CsDyMoN3 at its relaxed geometry. Source: Alexandria, functional PBE.

Lattice parameters (Å, degrees): 7.0843 7.0843 8.5157 103.27 103.27 32.45
Element x y z (fractional)
1 Cs 0.1431 0.1431 0.0677
2 Cs 0.8569 0.8569 0.9323
3 Dy 0.1608 0.1608 0.5677
4 Dy 0.8392 0.8392 0.4323
5 Mo 0.4940 0.4940 0.6578
6 Mo 0.5060 0.5060 0.3422
7 N 0.0145 0.0145 0.3343
8 N 0.3361 0.3361 0.6104
9 N 0.3659 0.3659 0.2520
10 N 0.6341 0.6341 0.7480
11 N 0.6639 0.6639 0.3896
12 N 0.9855 0.9855 0.6657

Results
**Uncorrected formation energy**: -0.506 eV/atom
**Space-group type**: C2/m
**Raw total energy**: -88.6 eV per cell



(12)
Crystalline LaSm3Al4 at its relaxed geometry. Source: Alexandria, functional PBE.

Lattice parameters (Å, degrees): 10.4904 7.4360 5.2447 90.00 90.00 90.00
Element x y z (fractional)
1 La 0.0000 0.0000 0.0000
2 La 0.5000 0.0000 0.0000
3 Sm 0.0000 0.5000 0.0000
4 Sm 0.2500 0.0000 0.4991
5 Sm 0.2500 0.5000 0.4989
6 Sm 0.5000 0.5000 0.0000
7 Sm 0.7500 0.0000 0.5009
8 Sm 0.7500 0.5000 0.5011
9 Al 0.0000 0.2574 0.5000
10 Al 0.0000 0.7426 0.5000
11 Al 0.2500 0.2573 0.9986
12 Al 0.2500 0.7427 0.9986
13 Al 0.5000 0.2574 0.5000
14 Al 0.5000 0.7426 0.5000
15 Al 0.7500 0.2573 0.0014
16 Al 0.7500 0.7427 0.0014

Results
**Formation energy from the elements**: -0.365 eV/atom
**Space-group type**: Pmma
**Raw total energy**: -74.0 eV per cell



> What is the raw total energy in the sixth record?

-58.6 eV per cell



> Among the records above, which one has the highest raw total energy?

PbBr



> The highest raw total energy belongs to which entry?

PbBr